The following is a DFT calculation (PBE) of crystalline PaVSbPd at its relaxed geometry.

Density of states at the Fermi level: 1.38 states/eV per atom
E_form (uncorrected): -0.0917 eV per atom
E_tot: -7.074 eV per atom

Lattice parameters (Å, degrees): 4.8103 4.8103 4.8103 60.00 60.00 60.00
Site moments in Bohr magnetons follow the coordinates.
Atoms (fractional coordinates):
1 Sb 0.7500 0.7500 0.7500  -0.03
2 Pa 0.2500 0.2500 0.2500  0.24
3 V 0.5000 0.5000 0.5000  1.17
4 Pd 0.0000 0.0000 0.0000  0.06